No. 1
Compound: Na3Dy2IrO6
Source: Alexandria
Functional: PBE-GGA
Structure: optimized geometry

calculated volume = 13.1 Å³/atom
DOS(E_F) = 0.0 states/eV/f.u.
SG = C2/m
crystal system = monoclinic
theoretical density = 7.231 Mg/m³
total DFT energy (no corrections) = -77.587 eV for the cell shown

a b c (Å): 5.6668 5.6668 5.9218
angles (deg): 99.01 99.01 119.86
Last column: nearest neighbours and their distance in Å.
Positions (direct):
Dy: 0.6676 0.3324 0.0000  6 O 2.28-2.29
Dy: 0.3324 0.6676 0.0000  6 O 2.28-2.29
O: 0.2487 0.2487 0.7862  1 Ir 2.17, 2 Dy 2.28, 2 Na 2.39
O: 0.0723 0.3896 0.2176  1 Ir 2.18, 2 Dy 2.29, 1 Na 2.43
O: 0.7513 0.7513 0.2138  1 Ir 2.17, 2 Dy 2.28, 2 Na 2.39
O: 0.6104 0.9277 0.7824  1 Ir 2.18, 2 Dy 2.29, 1 Na 2.43
O: 0.3896 0.0723 0.2176  1 Ir 2.18, 2 Dy 2.29, 1 Na 2.43
O: 0.9277 0.6104 0.7824  1 Ir 2.18, 2 Dy 2.29, 1 Na 2.43
Na: 0.8436 0.1564 0.5000  6 O 2.39-2.61
Na: 0.5000 0.5000 0.5000  6 O 2.44-2.53
Na: 0.1564 0.8436 0.5000  6 O 2.39-2.61
Ir: 0.0000 0.0000 0.0000  6 O 2.17-2.18

No. 2
Compound: Na2DyIrO6
Source: Alexandria
Functional: PBE-GGA
Structure: optimized geometry

calculated volume = 13.1 Å³/atom
DOS(E_F) = 5.8 states/eV/f.u.
SG = P2_1/c
crystal system = monoclinic
theoretical density = 6.319 Mg/m³
total DFT energy (no corrections) = -125.020 eV for the cell shown

a b c (Å): 5.6404 5.7413 8.0613
angles (deg): 90.00 90.36 90.00
Last column: nearest neighbours and their distance in Å.
Positions (direct):
Ir: 0.5000 0.0000 0.5000  6 O 1.91-1.92
Ir: 0.0000 0.5000 0.0000  6 O 1.91-1.92
O: 0.4155 0.9761 0.7293  1 Ir 1.92
O: 0.7746 0.8129 0.5422  1 Ir 1.91
O: 0.3178 0.7257 0.4535  1 Ir 1.92
O: 0.2746 0.6871 0.0422  1 Ir 1.91
O: 0.9155 0.5239 0.2293  1 Ir 1.92
O: 0.0845 0.4761 0.7707  1 Ir 1.92
O: 0.2254 0.1871 0.4578  1 Ir 1.91
O: 0.1822 0.2257 0.0465  1 Ir 1.92
O: 0.5845 0.0239 0.2707  1 Ir 1.92
O: 0.6822 0.2743 0.5465  1 Ir 1.92
O: 0.7254 0.3129 0.9578  1 Ir 1.91
O: 0.8178 0.7743 0.9535  1 Ir 1.92
Na: 0.0080 0.9631 0.2502  4 O 2.42-2.58
Na: 0.5080 0.5369 0.7502  4 O 2.42-2.58
Na: 0.4920 0.4631 0.2498  4 O 2.42-2.58
Na: 0.9920 0.0369 0.7498  4 O 2.42-2.58
Dy: 0.5000 0.0000 0.0000  6 O 2.23-2.25
Dy: 0.0000 0.5000 0.5000  6 O 2.23-2.25

No. 3
Compound: NaDyIrO4
Source: Alexandria
Functional: PBE-GGA
Structure: optimized geometry

calculated volume = 12.0 Å³/atom
DOS(E_F) = 2.7 states/eV/f.u.
SG = Amm2
crystal system = orthorhombic
theoretical density = 8.748 Mg/m³
polymorph energy (0 for the lowest one) = 0 meV per atom

a b c (Å): 9.3703 9.3703 3.2533
angles (deg): 90.00 90.00 118.29
Last column: nearest neighbours and their distance in Å.
Positions (direct):
Dy: 0.3412 0.6861 0.5000  6 O 2.28-2.54
Dy: 0.2985 0.2985 0.5000  7 O 2.30-2.36
Dy: 0.6861 0.3412 0.5000  6 O 2.28-2.54
Na: 0.9795 0.9795 0.0000  6 O 2.39-2.48
Na: 0.9995 0.6975 0.5000  6 O 2.29-2.48
Na: 0.6975 0.9995 0.5000  6 O 2.29-2.48
O: 0.2580 0.4520 0.0000  1 Ir 2.10, 2 Dy 2.32
O: 0.7970 0.7970 0.5000  2 Ir 2.05
O: 0.5382 0.5382 0.5000  2 Ir 2.04
O: 0.4533 0.0004 0.5000  2 Ir 2.03
O: 0.7852 0.5345 0.0000  1 Ir 2.02
O: 0.5345 0.7852 0.0000  1 Ir 2.02
O: 0.4520 0.2580 0.0000  1 Ir 2.10, 2 Dy 2.32
O: 0.0140 0.1930 0.5000  2 Ir 2.08
O: 0.0004 0.4533 0.5000  2 Ir 2.03
O: 0.1930 0.0140 0.5000  2 Ir 2.08
O: 0.2154 0.7597 0.0000  1 Ir 2.02
O: 0.7597 0.2154 0.0000  1 Ir 2.02
Ir: 0.3263 0.0040 0.0000  6 O 2.02-2.10
Ir: 0.0040 0.3263 0.0000  6 O 2.02-2.10
Ir: 0.6670 0.6670 0.0000  6 O 2.02-2.05

No. 4
Compound: NaDyIrO6
Source: Alexandria
Functional: PBE-GGA
Structure: optimized geometry

calculated volume = 14.3 Å³/atom
DOS(E_F) = 5.1 states/eV/f.u.
SG = P-31c
crystal system = trigonal
theoretical density = 6.102 Mg/m³
total DFT energy (no corrections) = -114.925 eV for the cell shown

a b c (Å): 5.5942 5.5942 9.5122
angles (deg): 90.00 90.00 120.00
Last column: nearest neighbours and their distance in Å.
Positions (direct):
O: 0.6551 0.0475 0.3626  1 Ir 1.90
O: 0.3924 0.3449 0.3626  1 Ir 1.90
O: 0.3449 0.3924 0.8626  1 Ir 1.90
O: 0.9525 0.6076 0.3626  1 Ir 1.90
O: 0.3924 0.0475 0.1374  1 Ir 1.90
O: 0.6076 0.6551 0.6374  1 Ir 1.90
O: 0.9525 0.3449 0.1374  1 Ir 1.90
O: 0.6551 0.6076 0.1374  1 Ir 1.90
O: 0.0475 0.6551 0.8626  1 Ir 1.90
O: 0.0475 0.3924 0.6374  1 Ir 1.90
O: 0.6076 0.9525 0.8626  1 Ir 1.90
O: 0.3449 0.9525 0.6374  1 Ir 1.90
Ir: 0.3333 0.6667 0.7500  6 O 1.90
Ir: 0.6667 0.3333 0.2500  6 O 1.90
Na: 0.0000 0.0000 0.0000  6 O 2.45
Na: 0.0000 0.0000 0.5000  6 O 2.45
Dy: 0.6667 0.3333 0.7500  6 O 2.26
Dy: 0.3333 0.6667 0.2500  6 O 2.26